(1)
# AcCu2O4 PBE optimized geometry
data_AcCu2O4
_symmetry_space_group_name_H-M 'C 1 2/m 1'
_symmetry_Int_Tables_number 12
_cell_length_a 5.5097
_cell_length_b 5.4621
_cell_length_c 6.5145
_cell_angle_alpha 90.00
_cell_angle_beta 105.52
_cell_angle_gamma 90.00
loop_
_symmetry_equiv_pos_as_xyz
'x,y,z'
'-x,-y,-z'
'-x,y,-z'
'x,-y,z'
'x+1/2,y+1/2,z'
'-x+1/2,-y+1/2,-z'
'-x+1/2,y+1/2,-z'
'x+1/2,-y+1/2,z'
loop_
_atom_site_label
_atom_site_type_symbol
_atom_site_fract_x
_atom_site_fract_y
_atom_site_fract_z
Ac1 Ac 0.0000 0.0000 0.0000
Cu1 Cu 0.1099 0.5000 0.3236
O1 O 0.1658 0.2529 0.7386
# energy above the lowest structure with this stoichiometry: 20.3 kJ per mole of atoms
# DOS at the Fermi energy: 15.64 states/eV/cell
# VASP energy: -5.933 eV per atom
# E_form (uncorrected): -1343 meV/atom

=====

(2)
# Ac2CuO4 PBE optimized geometry
data_Ac2CuO4
_symmetry_space_group_name_H-M 'I 4/m m m'
_symmetry_Int_Tables_number 139
_symmetry_space_group_name_Hall '-I 4 2'
_cell_length_a 4.1129
_cell_length_b 4.1129
_cell_length_c 13.2422
_cell_angle_alpha 90.00
_cell_angle_beta 90.00
_cell_angle_gamma 90.00
loop_
_atom_site_label
_atom_site_type_symbol
_atom_site_fract_x
_atom_site_fract_y
_atom_site_fract_z
Ac1 Ac 0.0000 0.0000 0.1478
Cu1 Cu 0.0000 0.0000 0.5000
O1 O 0.0000 0.5000 0.0000
O2 O 0.0000 0.5000 0.2500
# energy above the lowest structure with this stoichiometry: 0.0 kJ per mole of atoms
# DOS at the Fermi energy: 7.49 states/eV/cell
# VASP energy: -7.143 eV per atom
# E_form (uncorrected): -2550 meV/atom

=====

(3)
# Ac4Cu2O PBE optimized geometry
data_Ac4Cu2O
_symmetry_space_group_name_H-M 'I 4/m m m'
_symmetry_Int_Tables_number 139
_symmetry_space_group_name_Hall '-I 4 2'
_cell_length_a 5.1760
_cell_length_b 5.1760
_cell_length_c 15.2723
_cell_angle_alpha 90.00
_cell_angle_beta 90.00
_cell_angle_gamma 90.00
loop_
_atom_site_label
_atom_site_type_symbol
_atom_site_fract_x
_atom_site_fract_y
_atom_site_fract_z
Ac1 Ac 0.0000 0.0000 0.1908
Ac2 Ac 0.0000 0.5000 0.0000
Cu1 Cu 0.0000 0.0000 0.3822
O1 O 0.0000 0.0000 0.0000
# DOS at the Fermi energy: 12.96 states/eV/cell
# VASP energy: -4.977 eV per atom
# E_form (uncorrected): -751 meV/atom

=====

(4)
# Ac2CuO6 PBE optimized geometry
data_Ac2CuO6
_symmetry_space_group_name_H-M 'F m -3 m'
_symmetry_Int_Tables_number 225
_symmetry_space_group_name_Hall '-F 4 2 3'
_cell_length_a 7.8057
_cell_length_b 7.8057
_cell_length_c 7.8057
_cell_angle_alpha 90.00
_cell_angle_beta 90.00
_cell_angle_gamma 90.00
loop_
_atom_site_label
_atom_site_type_symbol
_atom_site_fract_x
_atom_site_fract_y
_atom_site_fract_z
Ac1 Ac 0.2500 0.2500 0.2500
Cu1 Cu 0.0000 0.0000 0.0000
O1 O 0.0000 0.0000 0.2402
# DOS at the Fermi energy: 32.78 states/eV/cell
# VASP energy: -6.535 eV per atom
# E_form (uncorrected): -1861 meV/atom

=====

(5)
# Ac3CuO6 PBE optimized geometry
data_Ac3CuO6
_symmetry_space_group_name_H-M 'C m c 21'
_symmetry_Int_Tables_number 36
_cell_length_a 9.7595
_cell_length_b 12.2622
_cell_length_c 5.9015
_cell_angle_alpha 90.00
_cell_angle_beta 90.00
_cell_angle_gamma 90.00
loop_
_symmetry_equiv_pos_as_xyz
'x,y,z'
'-x,-y,z+1/2'
'-x,y,z'
'x,-y,z+1/2'
'x+1/2,y+1/2,z'
'-x+1/2,-y+1/2,z+1/2'
'-x+1/2,y+1/2,z'
'x+1/2,-y+1/2,z+1/2'
loop_
_atom_site_label
_atom_site_type_symbol
_atom_site_fract_x
_atom_site_fract_y
_atom_site_fract_z
Ac1 Ac 0.0000 0.1061 0.0000
Ac2 Ac 0.1946 0.3906 0.0338
Cu1 Cu 0.0000 0.3108 0.5671
O1 O 0.0000 0.2875 0.2471
O2 O 0.0000 0.4483 0.7334
O3 O 0.1486 0.2420 0.7356
O4 O 0.1586 0.0107 0.2712
# DOS at the Fermi energy: 9.36 states/eV/cell
# VASP energy: -7.205 eV per atom
# E_form (uncorrected): -2588 meV/atom

=====

(6)
# AcCuO4 PBE optimized geometry
data_AcCuO4
_symmetry_space_group_name_H-M 'P 42/n m c'
_symmetry_Int_Tables_number 137
_cell_length_a 4.8827
_cell_length_b 4.8827
_cell_length_c 6.6729
_cell_angle_alpha 90.00
_cell_angle_beta 90.00
_cell_angle_gamma 90.00
loop_
_symmetry_equiv_pos_as_xyz
'x,y,z'
'-x,-y,-z'
'-y+1/2,x,z+1/2'
'y+1/2,-x,-z+1/2'
'-x+1/2,-y+1/2,z'
'x+1/2,y+1/2,-z'
'y,-x+1/2,z+1/2'
'-y,x+1/2,-z+1/2'
'x+1/2,-y,-z'
'-x+1/2,y,z'
'-y,-x,-z+1/2'
'y,x,z+1/2'
'-x,y+1/2,-z'
'x,-y+1/2,z'
'y+1/2,x+1/2,-z+1/2'
'-y+1/2,-x+1/2,z+1/2'
loop_
_atom_site_label
_atom_site_type_symbol
_atom_site_fract_x
_atom_site_fract_y
_atom_site_fract_z
Ac1 Ac 0.2500 0.7500 0.2500
Cu1 Cu 0.2500 0.7500 0.7500
O1 O 0.0767 0.2500 0.0982
# energy above the lowest structure with this stoichiometry: 21.5 kJ per mole of atoms
# DOS at the Fermi energy: 1.41 states/eV/cell
# VASP energy: -5.890 eV per atom
# E_form (uncorrected): -1217 meV/atom

=====

(7)
# AcCu4O8 PBE optimized geometry
data_AcCu4O8
_symmetry_space_group_name_H-M 'R -3 m'
_symmetry_Int_Tables_number 166
_symmetry_space_group_name_Hall '-R 3 2"'
_cell_length_a 5.9048
_cell_length_b 5.9048
_cell_length_c 17.5509
_cell_angle_alpha 90.00
_cell_angle_beta 90.00
_cell_angle_gamma 120.00
loop_
_atom_site_label
_atom_site_type_symbol
_atom_site_fract_x
_atom_site_fract_y
_atom_site_fract_z
Ac1 Ac 0.0000 0.0000 0.0000
Cu1 Cu 0.0000 0.0000 0.5000
Cu2 Cu 0.0000 0.5000 0.5000
O1 O 0.0000 0.0000 0.2209
O2 O 0.0001 0.5000 0.2279
# DOS at the Fermi energy: 12.71 states/eV/cell
# VASP energy: -5.494 eV per atom
# E_form (uncorrected): -867 meV/atom

=====

(8)
# AcCu2O4 PBE optimized geometry
data_AcCu2O4
_symmetry_space_group_name_H-M 'F d d d'
_symmetry_Int_Tables_number 70
_cell_length_a 6.4752
_cell_length_b 9.4898
_cell_length_c 13.2167
_cell_angle_alpha 90.00
_cell_angle_beta 90.00
_cell_angle_gamma 90.00
loop_
_symmetry_equiv_pos_as_xyz
'x,y,z'
'-x,-y,-z'
'-x+1/4,-y+1/4,z'
'x+1/4,y+1/4,-z'
'x,-y+1/4,-z+1/4'
'-x,y+1/4,z+1/4'
'-x+1/4,y,-z+1/4'
'x+1/4,-y,z+1/4'
'x,y+1/2,z+1/2'
'-x,-y+1/2,-z+1/2'
'-x+1/4,-y+3/4,z+1/2'
'x+1/4,y+3/4,-z+1/2'
'x,-y+3/4,-z+3/4'
'-x,y+3/4,z+3/4'
'-x+1/4,y+1/2,-z+3/4'
'x+1/4,-y+1/2,z+3/4'
'x+1/2,y,z+1/2'
'-x+1/2,-y,-z+1/2'
'-x+3/4,-y+1/4,z+1/2'
'x+3/4,y+1/4,-z+1/2'
'x+1/2,-y+1/4,-z+3/4'
'-x+1/2,y+1/4,z+3/4'
'-x+3/4,y,-z+3/4'
'x+3/4,-y,z+3/4'
'x+1/2,y+1/2,z'
'-x+1/2,-y+1/2,-z'
'-x+3/4,-y+3/4,z'
'x+3/4,y+3/4,-z'
'x+1/2,-y+3/4,-z+1/4'
'-x+1/2,y+3/4,z+1/4'
'-x+3/4,y+1/2,-z+1/4'
'x+3/4,-y+1/2,z+1/4'
loop_
_atom_site_label
_atom_site_type_symbol
_atom_site_fract_x
_atom_site_fract_y
_atom_site_fract_z
Ac1 Ac 0.1250 0.1250 0.1250
Cu1 Cu 0.0000 0.0000 0.5000
O1 O 0.0375 0.3029 0.9901
# energy above the lowest structure with this stoichiometry: 0.0 kJ per mole of atoms
# DOS at the Fermi energy: 27.28 states/eV/cell
# VASP energy: -6.144 eV per atom
# E_form (uncorrected): -1553 meV/atom

=====

(9)
# Ac2CuO4 PBE optimized geometry
data_Ac2CuO4
_symmetry_space_group_name_H-M 'I 4/m m m'
_symmetry_Int_Tables_number 139
_symmetry_space_group_name_Hall '-I 4 2'
_cell_length_a 3.8670
_cell_length_b 3.8670
_cell_length_c 13.8589
_cell_angle_alpha 90.00
_cell_angle_beta 90.00
_cell_angle_gamma 90.00
loop_
_atom_site_label
_atom_site_type_symbol
_atom_site_fract_x
_atom_site_fract_y
_atom_site_fract_z
Ac1 Ac 0.0000 0.0000 0.1381
Cu1 Cu 0.0000 0.0000 0.5000
O1 O 0.0000 0.0000 0.3172
O2 O 0.0000 0.5000 0.0000
# energy above the lowest structure with this stoichiometry: 1.1 kJ per mole of atoms
# DOS at the Fermi energy: 2.92 states/eV/cell
# VASP energy: -7.132 eV per atom
# E_form (uncorrected): -2539 meV/atom

=====

(10)
# Ac2CuO3 PBE optimized geometry
data_Ac2CuO3
_symmetry_space_group_name_H-M 'I m m m'
_symmetry_Int_Tables_number 71
_symmetry_space_group_name_Hall '-I 2 2'
_cell_length_a 3.6414
_cell_length_b 3.8343
_cell_length_c 14.3683
_cell_angle_alpha 90.00
_cell_angle_beta 90.00
_cell_angle_gamma 90.00
loop_
_atom_site_label
_atom_site_type_symbol
_atom_site_fract_x
_atom_site_fract_y
_atom_site_fract_z
Ac1 Ac 0.0000 0.0000 0.1417
Cu1 Cu 0.0000 0.0000 0.5000
O1 O 0.0000 0.0000 0.3159
O2 O 0.0000 0.5000 0.5000
# DOS at the Fermi energy: 2.85 states/eV/cell
# VASP energy: -6.918 eV per atom
# E_form (uncorrected): -2387 meV/atom

=====

(11)
# Ac3Cu2O9 PBE optimized geometry
data_Ac3Cu2O9
_symmetry_space_group_name_H-M 'R -3 c'
_symmetry_Int_Tables_number 167
_symmetry_space_group_name_Hall '-R 3 2"c'
_cell_length_a 9.4338
_cell_length_b 9.4338
_cell_length_c 14.0724
_cell_angle_alpha 90.00
_cell_angle_beta 90.00
_cell_angle_gamma 120.00
loop_
_atom_site_label
_atom_site_type_symbol
_atom_site_fract_x
_atom_site_fract_y
_atom_site_fract_z
Ac1 Ac 0.0000 0.3414 0.2500
Cu1 Cu 0.0000 0.0000 0.1585
O1 O 0.0000 0.1599 0.7500
O2 O 0.0020 0.1784 0.4057
# DOS at the Fermi energy: 28.43 states/eV/cell
# VASP energy: -6.532 eV per atom
# E_form (uncorrected): -1879 meV/atom

=====

(12)
# AcCuO4 PBE optimized geometry
data_AcCuO4
_symmetry_space_group_name_H-M 'C 1 2/m 1'
_symmetry_Int_Tables_number 12
_cell_length_a 21.2636
_cell_length_b 4.1743
_cell_length_c 4.1863
_cell_angle_alpha 90.00
_cell_angle_beta 95.44
_cell_angle_gamma 90.00
loop_
_symmetry_equiv_pos_as_xyz
'x,y,z'
'-x,-y,-z'
'-x,y,-z'
'x,-y,z'
'x+1/2,y+1/2,z'
'-x+1/2,-y+1/2,-z'
'-x+1/2,y+1/2,-z'
'x+1/2,-y+1/2,z'
loop_
_atom_site_label
_atom_site_type_symbol
_atom_site_fract_x
_atom_site_fract_y
_atom_site_fract_z
Ac1 Ac 0.1875 0.0000 0.2212
Cu1 Cu 0.0543 0.5000 0.8073
O1 O 0.0000 0.2320 0.0000
O2 O 0.1130 0.1793 0.6833
O3 O 0.2438 0.5000 0.2467
# energy above the lowest structure with this stoichiometry: 0.0 kJ per mole of atoms
# DOS at the Fermi energy: 14.76 states/eV/cell
# VASP energy: -6.113 eV per atom
# E_form (uncorrected): -1440 meV/atom

=====

(13)
# Ac3CuO PBE optimized geometry
data_Ac3CuO
_symmetry_space_group_name_H-M 'P m -3 m'
_symmetry_Int_Tables_number 221
_symmetry_space_group_name_Hall '-P 4 2 3'
_cell_length_a 5.2333
_cell_length_b 5.2333
_cell_length_c 5.2333
_cell_angle_alpha 90.00
_cell_angle_beta 90.00
_cell_angle_gamma 90.00
loop_
_atom_site_label
_atom_site_type_symbol
_atom_site_fract_x
_atom_site_fract_y
_atom_site_fract_z
Ac1 Ac 0.0000 0.0000 0.5000
Cu1 Cu 0.5000 0.5000 0.5000
O1 O 0.0000 0.0000 0.0000
# DOS at the Fermi energy: 4.68 states/eV/cell
# VASP energy: -5.171 eV per atom
# E_form (uncorrected): -895 meV/atom

=====

(14)
# AcCuOs2O8 PBE optimized geometry
data_AcCuOs2O8
_symmetry_space_group_name_H-M 'R -3'
_symmetry_Int_Tables_number 148
_symmetry_space_group_name_Hall '-R 3'
_cell_length_a 5.2015
_cell_length_b 5.2015
_cell_length_c 19.5271
_cell_angle_alpha 90.00
_cell_angle_beta 90.00
_cell_angle_gamma 120.00
loop_
_atom_site_label
_atom_site_type_symbol
_atom_site_fract_x
_atom_site_fract_y
_atom_site_fract_z
Ac1 Ac 0.0000 0.0000 0.0000
Cu1 Cu 0.0000 0.0000 0.5000
Os1 Os 0.0000 0.0000 0.2202
O1 O 0.0000 0.0000 0.3167
O2 O 0.0011 0.2960 0.8870
# DOS at the Fermi energy: 6.62 states/eV/cell
# VASP energy: -7.070 eV per atom
# E_form (uncorrected): -1209 meV/atom

=====

(15)
# AcCuOsO6 PBE optimized geometry
data_AcCuOsO6
_symmetry_space_group_name_H-M 'C 1 2 1'
_symmetry_Int_Tables_number 5
_cell_length_a 5.2057
_cell_length_b 9.5751
_cell_length_c 5.1835
_cell_angle_alpha 90.00
_cell_angle_beta 93.11
_cell_angle_gamma 90.00
loop_
_symmetry_equiv_pos_as_xyz
'x,y,z'
'-x,y,-z'
'x+1/2,y+1/2,z'
'-x+1/2,y+1/2,-z'
loop_
_atom_site_label
_atom_site_type_symbol
_atom_site_fract_x
_atom_site_fract_y
_atom_site_fract_z
Ac1 Ac 0.0000 0.0000 0.0000
Cu1 Cu 0.0000 0.3533 0.5000
Os1 Os 0.0000 0.6803 0.5000
O1 O 0.1362 0.5400 0.2998
O2 O 0.1838 0.8354 0.3068
O3 O 0.2240 0.2106 0.2721
# DOS at the Fermi energy: 3.58 states/eV/cell
# VASP energy: -7.027 eV per atom
# E_form (uncorrected): -1562 meV/atom

=====

(16)
# AcCuP2O8 PBE optimized geometry
data_AcCuP2O8
_symmetry_space_group_name_H-M 'R -3'
_symmetry_Int_Tables_number 148
_symmetry_space_group_name_Hall '-R 3'
_cell_length_a 4.8007
_cell_length_b 4.8007
_cell_length_c 21.2605
_cell_angle_alpha 90.00
_cell_angle_beta 90.00
_cell_angle_gamma 120.00
loop_
_atom_site_label
_atom_site_type_symbol
_atom_site_fract_x
_atom_site_fract_y
_atom_site_fract_z
Ac1 Ac 0.0000 0.0000 0.0000
Cu1 Cu 0.0000 0.0000 0.5000
P1 P 0.0000 0.0000 0.2427
O1 O 0.0000 0.0000 0.3164
O2 O 0.0106 0.3168 0.2239
# VASP energy: -7.038 eV per atom
# E_form (uncorrected): -2147 meV/atom

=====

(17)
# Ac2PaCuO8 PBE optimized geometry
data_Ac2PaCuO8
_symmetry_space_group_name_H-M 'P -3 m 1'
_symmetry_Int_Tables_number 164
_symmetry_space_group_name_Hall '-P 3 2"'
_cell_length_a 5.6102
_cell_length_b 5.6102
_cell_length_c 6.0277
_cell_angle_alpha 90.00
_cell_angle_beta 90.00
_cell_angle_gamma 120.00
loop_
_atom_site_label
_atom_site_type_symbol
_atom_site_fract_x
_atom_site_fract_y
_atom_site_fract_z
Ac1 Ac 0.3333 0.6667 0.3578
Pa1 Pa 0.0000 0.0000 0.0000
Cu1 Cu 0.0000 0.0000 0.5000
O1 O 0.1524 0.3047 0.7069
O2 O 0.3333 0.6667 0.9989
# VASP energy: -7.211 eV per atom
# E_form (uncorrected): -2088 meV/atom

=====

(18)
# Ac2CuPbO6 PBE optimized geometry
data_Ac2CuPbO6
_symmetry_space_group_name_H-M 'C 1 2/m 1'
_symmetry_Int_Tables_number 12
_cell_length_a 10.4406
_cell_length_b 5.6982
_cell_length_c 5.8690
_cell_angle_alpha 90.00
_cell_angle_beta 120.39
_cell_angle_gamma 90.00
loop_
_symmetry_equiv_pos_as_xyz
'x,y,z'
'-x,-y,-z'
'-x,y,-z'
'x,-y,z'
'x+1/2,y+1/2,z'
'-x+1/2,-y+1/2,-z'
'-x+1/2,y+1/2,-z'
'x+1/2,-y+1/2,z'
loop_
_atom_site_label
_atom_site_type_symbol
_atom_site_fract_x
_atom_site_fract_y
_atom_site_fract_z
Ac1 Ac 0.2411 0.0000 0.2184
Cu1 Cu 0.0000 0.5000 0.0000
Pb1 Pb 0.0000 0.0000 0.5000
O1 O 0.0637 0.2599 0.8303
O2 O 0.2334 0.0000 0.6339
# DOS at the Fermi energy: 1.68 states/eV/cell
# VASP energy: -6.614 eV per atom
# E_form (uncorrected): -2036 meV/atom

=====

(19)
# AcCu2PbO5 PBE optimized geometry
data_AcCu2PbO5
_symmetry_space_group_name_H-M 'P 4/m m m'
_symmetry_Int_Tables_number 123
_symmetry_space_group_name_Hall '-P 4 2'
_cell_length_a 3.9365
_cell_length_b 3.9365
_cell_length_c 7.6628
_cell_angle_alpha 90.00
_cell_angle_beta 90.00
_cell_angle_gamma 90.00
loop_
_atom_site_label
_atom_site_type_symbol
_atom_site_fract_x
_atom_site_fract_y
_atom_site_fract_z
Ac1 Ac 0.0000 0.0000 0.0000
Cu1 Cu 0.5000 0.5000 0.2611
Pb1 Pb 0.0000 0.0000 0.5000
O1 O 0.0000 0.5000 0.2617
O2 O 0.5000 0.5000 0.0000
# DOS at the Fermi energy: 2.96 states/eV/cell
# VASP energy: -5.914 eV per atom
# E_form (uncorrected): -1381 meV/atom

=====

(20)
# AcCuPbO4 PBE optimized geometry
data_AcCuPbO4
_symmetry_space_group_name_H-M 'P 1 21/m 1'
_symmetry_Int_Tables_number 11
_cell_length_a 6.0265
_cell_length_b 5.5059
_cell_length_c 7.3495
_cell_angle_alpha 90.00
_cell_angle_beta 108.24
_cell_angle_gamma 90.00
loop_
_symmetry_equiv_pos_as_xyz
'x,y,z'
'-x,-y,-z'
'-x,y+1/2,-z'
'x,-y+1/2,z'
loop_
_atom_site_label
_atom_site_type_symbol
_atom_site_fract_x
_atom_site_fract_y
_atom_site_fract_z
Ac1 Ac 0.2334 0.2500 0.0199
Cu1 Cu 0.2038 0.7500 0.7521
Pb1 Pb 0.2919 0.2500 0.5181
O1 O 0.0350 0.0194 0.2529
O2 O 0.3688 0.7500 0.0229
O3 O 0.4539 0.7500 0.6523
# DOS at the Fermi energy: 1.92 states/eV/cell
# VASP energy: -6.032 eV per atom
# E_form (uncorrected): -1497 meV/atom